Entry 1:
A plane-wave DFT calculation with PBE was carried out for an optimized crystal structure of WC2.

Cell lengths 4.013, 4.013, 6.100 Å; angles 78.49, 78.49, 40.49 degrees
Fractional coordinates of all 6 atoms:
C (0.489, 0.489, 0.375)
C (0.712, 0.712, 0.704)
C (0.473, 0.473, 0.149)
C (0.936, 0.936, 0.025)
W (0.001, 0.001, 0.622)
W (0.222, 0.222, 0.959)



Entry 2:
A plane-wave DFT calculation with PBE was carried out for an optimized crystal structure of KTcHg3.

Cell lengths 6.113, 6.113, 6.113 Å; angles 90.00, 90.00, 90.00 degrees
Fractional coordinates of all 5 atoms:
Hg (0.000, 0.000, 0.500)
Hg (0.000, 0.500, 0.000)
Hg (0.500, 0.000, 0.000)
K (0.000, 0.000, 0.000)
Tc (0.500, 0.500, 0.500)



Entry 3:
A plane-wave DFT calculation with PBE was carried out for an optimized crystal structure of PmAg.

Cell lengths 4.369, 4.369, 4.369 Å; angles 60.00, 60.00, 60.00 degrees
Fractional coordinates of all 2 atoms:
Pm (0.000, 0.000, 0.000)
Ag (0.500, 0.500, 0.500)



E_form across the listed records, respectively: 669.8, 1288.5, -24.7 meV/atom.